First-principles (PBE-GGA) data for K5Rb2Cd4 after structural relaxation, as listed in Alexandria via LeMat-Bulk.

POSCAR file:
```
K5Rb2Cd4
1.0
8.455 -4.145 0.000
8.455 4.145 0.000
-4.803 0.000 8.941
K Rb Cd
5 2 4
Cartesian
0.000 0.000 0.000
3.765 2.104 5.260
8.342 2.104 3.680
3.765 -2.104 5.260
8.342 -2.104 3.680
0.239 0.000 8.049
11.868 0.000 0.892
2.709 0.000 2.317
5.537 0.000 2.993
6.570 0.000 5.948
9.398 0.000 6.624
```

Summary:
space group = C2/m, No. 12
DFT formation energy = 17 meV per atom